[1]
Entry from Alexandria: a relaxed structure of SmDyMn17 (GGA-PBE).

Lattice parameters (Å, degrees): 6.3409 6.3409 6.3409 86.32 86.32 86.32
Element x y z (fractional)
Mn (0.2744, 0.0007, 0.7258)
Mn (0.2744, 0.7258, 0.0007)
Mn (0.0008, 0.4998, 0.0008)
Mn (0.4998, 0.0008, 0.0008)
Mn (0.7258, 0.0007, 0.2744)
Mn (0.6447, 0.1231, 0.6447)
Mn (0.9007, 0.9007, 0.9007)
Mn (0.0007, 0.7258, 0.2744)
Mn (0.7258, 0.2744, 0.0007)
Mn (0.3542, 0.3542, 0.8774)
Mn (0.1231, 0.6447, 0.6447)
Sm (0.6439, 0.6439, 0.6439)
Mn (0.0997, 0.0997, 0.0997)
Mn (0.8774, 0.3542, 0.3542)
Mn (0.3542, 0.8774, 0.3542)
Mn (0.0007, 0.2744, 0.7258)
Mn (0.0008, 0.0008, 0.4998)
Mn (0.6447, 0.6447, 0.1231)
Dy (0.3542, 0.3542, 0.3542)

Summary:
space-group type: R3m, No. 160
ΔH_f (0 K): 0.42 kcal/mol of atoms

=====

[2]
Entry from Alexandria: a relaxed structure of SmDy3Mn (GGA-PBE).

Lattice parameters (Å, degrees): 5.3152 5.3152 5.3152 90.00 90.00 90.00
Element x y z (fractional)
Dy (0.0000, 0.0000, 0.5000)
Dy (0.5000, 0.0000, 0.0000)
Sm (0.5000, 0.5000, 0.5000)
Dy (0.0000, 0.5000, 0.0000)
Mn (0.0000, 0.0000, 0.0000)

Summary:
space-group type: Pm-3m, No. 221
ΔH_f (0 K): 5.40 kcal/mol of atoms

=====

[3]
Entry from Alexandria: a relaxed structure of SmDyMn (GGA-PBE).

Lattice parameters (Å, degrees): 3.8109 5.9669 7.1925 100.50 105.36 90.00
Element x y z (fractional)
Dy (0.8414, 0.6730, 0.6828)
Sm (0.5736, 0.7811, 0.1471)
Dy (0.1586, 0.3270, 0.3172)
Sm (0.4264, 0.2189, 0.8529)
Mn (0.2531, 0.9168, 0.5063)
Mn (0.7469, 0.0832, 0.4937)

Summary:
space-group type: C2/m, No. 12
ΔH_f (0 K): 2.47 kcal/mol of atoms

=====

[4]
Entry from Alexandria: a relaxed structure of SmDyMnTl (GGA-PBE).

Lattice parameters (Å, degrees): 5.2697 5.2697 5.2697 60.00 60.00 60.00
Element x y z (fractional)
Mn (0.5000, 0.5000, 0.5000)
Dy (0.2500, 0.2500, 0.2500)
Sm (0.7500, 0.7500, 0.7500)
Tl (0.0000, 0.0000, 0.0000)

Summary:
space-group type: F-43m, No. 216
ΔH_f (0 K): -0.21 kcal/mol of atoms

=====

[5]
Entry from Alexandria: a relaxed structure of DyMn6Sn6 (GGA-PBE).

Lattice parameters (Å, degrees): 5.4494 5.4494 8.9664 90.00 90.00 120.00
Element x y z (fractional)
Sn (0.3333, 0.6667, 0.0000)
Mn (0.5000, 0.5000, 0.7516)
Mn (0.5000, 0.0000, 0.7516)
Dy (0.0000, 0.0000, 0.0000)
Sn (0.0000, 0.0000, 0.3335)
Sn (0.3333, 0.6667, 0.5000)
Mn (0.0000, 0.5000, 0.2484)
Mn (0.5000, 0.0000, 0.2484)
Sn (0.6667, 0.3333, 0.5000)
Mn (0.0000, 0.5000, 0.7516)
Sn (0.6667, 0.3333, 0.0000)
Sn (0.0000, 0.0000, 0.6665)
Mn (0.5000, 0.5000, 0.2484)

Summary:
space-group type: P6/mmm, No. 191
ΔH_f (0 K): -3.07 kcal/mol of atoms

=====

[6]
Entry from Alexandria: a relaxed structure of DyMnSn2Te5 (GGA-PBE).

Lattice parameters (Å, degrees): 4.3157 10.2798 14.1395 90.00 90.00 102.12
Element x y z (fractional)
Sn (0.1711, 0.3422, 0.6700)
Te (0.6826, 0.3653, 0.1733)
Dy (0.8077, 0.6154, 0.5213)
Te (0.3424, 0.6849, 0.0204)
Sn (0.0738, 0.1476, 0.3660)
Te (0.0304, 0.0608, 0.0241)
Sn (0.9262, 0.8524, 0.8660)
Te (0.9696, 0.9392, 0.5241)
Te (0.3174, 0.6347, 0.6733)
Te (0.3086, 0.6171, 0.3627)
Sn (0.8289, 0.6578, 0.1700)
Mn (0.5683, 0.1365, 0.9227)
Te (0.4993, 0.9986, 0.2634)
Mn (0.4317, 0.8635, 0.4227)
Dy (0.1923, 0.3846, 0.0213)
Te (0.6914, 0.3829, 0.8627)
Te (0.5007, 0.0014, 0.7634)
Te (0.6576, 0.3151, 0.5204)

Summary:
E_form (uncorrected): -0.497 eV/atom
space-group type: Cmc2_1, No. 36

=====

[7]
Entry from Alexandria: a relaxed structure of SrDy3Mn (GGA-PBE).

Lattice parameters (Å, degrees): 5.4109 5.4109 5.4109 90.00 90.00 90.00
Element x y z (fractional)
Mn (0.0000, 0.0000, 0.0000)
Dy (0.0000, 0.5000, 0.0000)
Sr (0.5000, 0.5000, 0.5000)
Dy (0.0000, 0.0000, 0.5000)
Dy (0.5000, 0.0000, 0.0000)

Summary:
space-group type: Pm-3m, No. 221
ΔH_f (0 K): 4.44 kcal/mol of atoms

=====

[8]
Entry from Alexandria: a relaxed structure of Tb2DyMn (GGA-PBE).

Lattice parameters (Å, degrees): 3.5543 3.5543 8.6288 90.00 90.00 90.00
Element x y z (fractional)
Tb (0.0000, 0.0000, 0.7975)
Mn (0.5000, 0.5000, 0.0000)
Tb (0.0000, 0.0000, 0.2025)
Dy (0.5000, 0.5000, 0.5000)

Summary:
space-group type: P4/mmm, No. 123
ΔH_f (0 K): 3.08 kcal/mol of atoms

=====

The calculation returns the following VASP energy values, one per record and in order: -164.86, -26.53, -36.34, -20.89, -85.37, -83.91, -23.69, -22.50 eV/cell.